# 1
# CdW2Se

CdW2Se after structural relaxation (GGA-PBEsol, Alexandria via LeMat-Bulk).

a = 2.818 Å, b = 2.818 Å, c = 9.992 Å
α = 90.00°, β = 90.00°, γ = 111.44°
Fractional coordinates of all 4 atoms:
Cd (0.000, 0.000, 0.532)
W (0.500, 0.500, 0.779)
W (0.000, 0.000, 0.988)
Se (0.500, 0.500, 0.200)

## Properties
* magnetization: 0.00 Bohr magnetons per cell
* polymorph energy (0 for the lowest one): 0.000 kcal/mol of atoms
* crystal system: orthorhombic
* DOS(E_F): 2.13 states/eV/f.u.
* energy relative to the elements, uncorrected: 0.3644 eV per atom
* SG: Cmm2, No. 35



# 2
# Li2TlMo

Li2TlMo after structural relaxation (GGA-PBEsol, Alexandria via LeMat-Bulk).

a = 3.611 Å, b = 4.430 Å, c = 5.060 Å
α = 115.96°, β = 110.91°, γ = 90.00°
Fractional coordinates of all 4 atoms:
Mo (0.509, 0.509, 0.018)
Li (0.262, 0.762, 0.525)
Li (0.991, 0.991, 0.981)
Tl (0.738, 0.238, 0.477)

## Properties
* magnetization: 2.48 Bohr magnetons per cell
* polymorph energy (0 for the lowest one): 1.293 kcal/mol of atoms
* energy relative to the elements: 0.54 eV per atom
* crystal system: orthorhombic
* DOS(E_F): 3.07 states/eV/f.u.
* SG: Imm2, No. 44



# 3
# BaZn2

BaZn2 after structural relaxation (GGA-PBEsol, Alexandria via LeMat-Bulk).

a = 4.179 Å, b = 6.610 Å, c = 6.862 Å
α = 113.99°, β = 107.73°, γ = 90.00°
Fractional coordinates of all 6 atoms:
Ba (0.166, 0.176, 0.332)
Ba (0.834, 0.824, 0.668)
Zn (0.515, 0.708, 0.031)
Zn (0.485, 0.292, 0.969)
Zn (0.895, 0.380, 0.790)
Zn (0.105, 0.620, 0.210)

## Properties
* magnetization: 0.00 Bohr magnetons per cell
* energy relative to the elements: -0.10 eV per atom
* crystal system: monoclinic
* DOS(E_F): 2.17 states/eV/f.u.
* SG: C2/m, No. 12



# 4
# ScCoPb3

ScCoPb3 after structural relaxation (GGA-PBEsol, Alexandria via LeMat-Bulk).

a = 4.998 Å, b = 4.998 Å, c = 4.998 Å
α = 90.00°, β = 90.00°, γ = 90.00°
Fractional coordinates of all 5 atoms:
Pb (0.000, 0.000, 0.500)
Pb (0.500, 0.000, 0.000)
Pb (0.000, 0.500, 0.000)
Sc (0.500, 0.500, 0.500)
Co (0.000, 0.000, 0.000)

## Properties
* magnetization: 0.54 Bohr magnetons per cell
* energy relative to the elements: 0.30 eV per atom
* crystal system: cubic
* DOS(E_F): 4.34 states/eV/f.u.
* SG: Pm-3m, No. 221



# 5
# LiTeO3

LiTeO3 after structural relaxation (GGA-PBEsol, Alexandria via LeMat-Bulk).

a = 3.600 Å, b = 3.600 Å, c = 3.600 Å
α = 90.00°, β = 90.00°, γ = 90.00°
Fractional coordinates of all 5 atoms:
O (0.500, 0.000, 0.500)
O (0.000, 0.500, 0.500)
O (0.500, 0.500, 0.000)
Li (0.500, 0.500, 0.500)
Te (0.000, 0.000, 0.000)

## Properties
* magnetization: 1.02 Bohr magnetons per cell
* crystal system: cubic
* DOS(E_F): 3.16 states/eV/f.u.
* energy relative to the elements, uncorrected: -0.3860 eV per atom
* SG: Pm-3m, No. 221



# 6
# AgAsIrBr2

AgAsIrBr2 after structural relaxation (GGA-PBEsol, Alexandria via LeMat-Bulk).

a = 4.952 Å, b = 4.952 Å, c = 5.053 Å
α = 90.00°, β = 90.00°, γ = 90.00°
Fractional coordinates of all 5 atoms:
Br (0.000, 0.500, 0.000)
Br (0.500, 0.000, 0.000)
As (0.000, 0.000, 0.500)
Ir (0.500, 0.500, 0.500)
Ag (0.000, 0.000, 0.000)

## Properties
* magnetization: 2.16 Bohr magnetons per cell
* crystal system: tetragonal
* DOS(E_F): 7.84 states/eV/f.u.
* energy relative to the elements, uncorrected: 1.4810 eV per atom
* SG: P4/mmm, No. 123



# 7
# K2RePb

K2RePb after structural relaxation (GGA-PBEsol, Alexandria via LeMat-Bulk).

a = 3.677 Å, b = 3.677 Å, c = 10.092 Å
α = 90.00°, β = 90.00°, γ = 90.00°
Fractional coordinates of all 4 atoms:
Re (0.500, 0.500, 0.665)
K (0.000, 0.000, 0.919)
K (0.500, 0.500, 0.330)
Pb (0.000, 0.000, 0.586)

## Properties
* magnetization: 0.00 Bohr magnetons per cell
* energy relative to the elements: 0.90 eV per atom
* crystal system: tetragonal
* DOS(E_F): 3.34 states/eV/f.u.
* SG: P4mm, No. 99



# 8
# CrAsAu2

CrAsAu2 after structural relaxation (GGA-PBEsol, Alexandria via LeMat-Bulk).

a = 2.880 Å, b = 2.880 Å, c = 8.922 Å
α = 80.71°, β = 80.71°, γ = 60.00°
Fractional coordinates of all 4 atoms:
Au (0.000, 0.000, 0.999)
Au (0.758, 0.758, 0.726)
As (0.237, 0.237, 0.289)
Cr (0.505, 0.505, 0.486)

## Properties
* magnetization: 0.00 Bohr magnetons per cell
* energy relative to the elements: 0.20 eV per atom
* crystal system: trigonal
* DOS(E_F): 3.69 states/eV/f.u.
* SG: R3m, No. 160



# 9
# CaMgBe3

CaMgBe3 after structural relaxation (GGA-PBEsol, Alexandria via LeMat-Bulk).

a = 4.534 Å, b = 4.534 Å, c = 4.534 Å
α = 90.00°, β = 90.00°, γ = 90.00°
Fractional coordinates of all 5 atoms:
Mg (0.000, 0.000, 0.000)
Be (0.000, 0.000, 0.500)
Be (0.000, 0.500, 0.000)
Be (0.500, 0.000, 0.000)
Ca (0.500, 0.500, 0.500)

## Properties
* magnetization: 0.00 Bohr magnetons per cell
* energy relative to the elements: 0.93 eV per atom
* crystal system: cubic
* DOS(E_F): 1.59 states/eV/f.u.
* SG: Pm-3m, No. 221



# 10
# NiHg2Mo

NiHg2Mo after structural relaxation (GGA-PBEsol, Alexandria via LeMat-Bulk).

a = 2.908 Å, b = 4.801 Å, c = 5.476 Å
α = 116.00°, β = 105.40°, γ = 90.00°
Fractional coordinates of all 4 atoms:
Mo (0.500, 0.000, 0.000)
Ni (0.000, 0.500, 0.000)
Hg (0.273, 0.273, 0.545)
Hg (0.727, 0.727, 0.455)

## Properties
* magnetization: 0.22 Bohr magnetons per cell
* polymorph energy (0 for the lowest one): 7.710 kcal/mol of atoms
* energy relative to the elements: 0.54 eV per atom
* crystal system: orthorhombic
* DOS(E_F): 4.03 states/eV/f.u.
* SG: Immm, No. 71



# 11
# Sm2PbSe4

Sm2PbSe4 after structural relaxation (GGA-PBEsol, Alexandria via LeMat-Bulk).

a = 7.648 Å, b = 7.648 Å, c = 7.648 Å
α = 109.39°, β = 109.39°, γ = 109.63°
Fractional coordinates of all 14 atoms:
Sm (0.757, 0.875, 0.382)
Sm (0.125, 0.507, 0.882)
Sm (0.625, 0.243, 0.118)
Sm (0.493, 0.375, 0.618)
Se (0.863, 0.616, 0.094)
Se (0.384, 0.478, 0.247)
Se (0.231, 0.137, 0.753)
Se (0.866, 0.613, 0.594)
Se (0.522, 0.769, 0.906)
Se (0.387, 0.981, 0.253)
Se (0.019, 0.272, 0.406)
Se (0.728, 0.134, 0.747)
Pb (0.000, 0.000, 0.000)
Pb (0.250, 0.750, 0.500)

## Properties
* magnetization: 0.00 Bohr magnetons per cell
* crystal system: tetragonal
* DOS(E_F): 0.00 states/eV/f.u.
* energy relative to the elements, uncorrected: -1.4947 eV per atom
* SG: I-42d, No. 122



# 12
# K2PW

K2PW after structural relaxation (GGA-PBEsol, Alexandria via LeMat-Bulk).

a = 3.756 Å, b = 3.756 Å, c = 5.591 Å
α = 90.00°, β = 90.00°, γ = 90.00°
Fractional coordinates of all 4 atoms:
P (0.500, 0.500, 0.500)
K (0.000, 0.500, 0.000)
K (0.500, 0.000, 0.000)
W (0.000, 0.000, 0.500)

## Properties
* magnetization: 0.01 Bohr magnetons per cell
* polymorph energy (0 for the lowest one): 3.319 kcal/mol of atoms
* energy relative to the elements: 1.09 eV per atom
* crystal system: tetragonal
* DOS(E_F): 3.80 states/eV/f.u.
* SG: P4/mmm, No. 123